[1]
# MgCdP4Pd2

A geometry-optimized MgCdP4Pd2 structure (PBE-GGA, OQMD via LeMat-Bulk).

Cell and atoms, written as POSCAR:
```
MgCdP4Pd2
1.0
-2.834 2.834 5.547
2.834 -2.834 5.547
2.834 2.834 -5.547
Mg Cd P Pd
1 1 4 2
Cartesian
0.000 0.000 0.000
2.834 0.000 2.773
4.002 1.404 -1.374
1.404 1.667 1.374
-1.168 1.430 4.173
1.430 1.168 6.921
0.000 0.000 5.547
0.000 2.834 2.773
```

## Properties
* V: 178.3 Å³/f.u.
* calculated density: 4.4 g/cm³
* energy: -4.29 eV/atom
* space-group type: No. 82

=====

[2]
# MgCdP4Pt2

A geometry-optimized MgCdP4Pt2 structure (PBE-GGA, OQMD via LeMat-Bulk).

Cell and atoms, written as POSCAR:
```
MgCdP4Pt2
1.0
-2.923 2.923 5.145
2.923 -2.923 5.145
2.923 2.923 -5.145
Mg Cd P Pt
1 1 4 2
Cartesian
0.000 0.000 0.000
2.923 0.000 2.573
4.137 1.443 -1.264
1.443 1.710 1.264
-1.214 1.480 3.881
1.480 1.214 6.409
0.000 0.000 5.145
0.000 2.923 2.573
```

## Properties
* M_tot: 0.003 μB/cell
* V: 175.9 Å³/f.u.
* calculated density: 6.1 g/cm³
* energy: -4.66 eV/atom
* space-group type: No. 82

=====

[3]
# MgCdRe2P4

A geometry-optimized MgCdRe2P4 structure (PBE-GGA, OQMD via LeMat-Bulk).

Cell and atoms, written as POSCAR:
```
MgCdRe2P4
1.0
-2.852 2.852 5.465
2.852 -2.852 5.465
2.852 2.852 -5.465
Mg Cd Re P
1 1 2 4
Cartesian
0.000 0.000 0.000
2.852 0.000 2.733
0.000 0.000 5.465
0.000 2.852 2.733
3.980 1.411 -1.350
1.411 1.724 1.350
-1.128 1.441 4.116
1.441 1.128 6.815
```

## Properties
* M_tot: 0.004 μB/cell
* V: 177.8 Å³/f.u.
* calculated density: 5.9 g/cm³
* energy: -6.04 eV/atom
* space-group type: No. 82

=====

[4]
# MgCdSi2P4

A geometry-optimized MgCdSi2P4 structure (PBE-GGA, OQMD via LeMat-Bulk).

Cell and atoms, written as POSCAR:
```
MgCdSi2P4
1.0
-2.858 2.858 5.210
2.858 -2.858 5.210
2.858 2.858 -5.210
Mg Cd Si P
1 1 2 4
Cartesian
0.000 0.000 0.000
2.858 0.000 2.605
0.000 0.000 5.210
0.000 2.858 2.605
4.039 1.408 -1.280
1.408 1.677 1.280
-1.181 1.450 3.930
1.450 1.181 6.489
```

## Properties
* V: 170.2 Å³/f.u.
* calculated density: 3.1 g/cm³
* energy: -4.68 eV/atom
* space-group type: No. 82

=====

[5]
# SmMgCdP2

A geometry-optimized SmMgCdP2 structure (PBE-GGA, OQMD via LeMat-Bulk).

Cell and atoms, written as POSCAR:
```
SmMgCdP2
1.0
4.257 0.000 0.000
-2.128 3.687 0.000
0.000 0.000 6.924
Sm Mg Cd P
1 1 1 2
Cartesian
0.000 0.000 0.000
0.000 2.458 2.482
2.128 1.229 4.393
0.000 2.458 5.178
2.128 1.229 1.652
```

## Properties
* M_tot: 0.000 μB/cell
* V: 108.7 Å³/f.u.
* calculated density: 5.3 g/cm³
* energy: -4.33 eV/atom
* space-group type: No. 156

=====

[6]
# MgCdP4W2

A geometry-optimized MgCdP4W2 structure (PBE-GGA, OQMD via LeMat-Bulk).

Cell and atoms, written as POSCAR:
```
MgCdP4W2
1.0
-2.890 2.890 5.474
2.890 -2.890 5.474
2.890 2.890 -5.474
Mg Cd P W
1 1 4 2
Cartesian
0.000 0.000 0.000
2.890 0.000 2.737
4.101 1.432 -1.356
1.432 1.679 1.356
-1.211 1.458 4.118
1.458 1.211 6.830
0.000 0.000 5.474
0.000 2.890 2.737
```

## Properties
* M_tot: 0.022 μB/cell
* V: 182.8 Å³/f.u.
* calculated density: 5.7 g/cm³
* energy: -6.10 eV/atom
* space-group type: No. 82

=====

[7]
# MgCdPdPb

A geometry-optimized MgCdPdPb structure (PBE-GGA, OQMD via LeMat-Bulk).

Cell and atoms, written as POSCAR:
```
MgCdPdPb
1.0
0.000 3.474 3.474
3.474 0.000 3.474
3.474 3.474 0.000
Mg Cd Pd Pb
1 1 1 1
Cartesian
0.000 0.000 0.000
5.211 5.211 5.211
3.474 3.474 3.474
1.737 1.737 1.737
```

## Properties
* V: 83.9 Å³/f.u.
* calculated density: 8.9 g/cm³
* energy: -2.98 eV/atom
* energy above the lowest structure with this stoichiometry: 0.00 eV per formula unit
* space-group type: No. 216

=====

[8]
# Rb4MgCdPb2

A geometry-optimized Rb4MgCdPb2 structure (PBE-GGA, OQMD via LeMat-Bulk).

Cell and atoms, written as POSCAR:
```
Rb4MgCdPb2
1.0
4.479 -5.798 0.000
4.479 5.798 0.000
-0.013 0.000 6.776
Rb Mg Cd Pb
4 1 1 2
Cartesian
3.171 3.797 5.061
5.775 3.797 1.715
3.171 -3.797 5.061
5.775 -3.797 1.715
4.479 0.000 0.000
4.473 0.000 3.388
2.135 0.000 5.107
6.811 0.000 1.669
```

## Properties
* V: 352.0 Å³/f.u.
* calculated density: 4.2 g/cm³
* energy: -1.86 eV/atom
* space-group type: No. 12